[1]
NiAs2Ir: relaxed, PBE-GGA.

Cell lengths 6.180, 6.180, 6.180 Å; angles 90.00, 90.00, 90.00 degrees
Space group Fm-3m (No. 225)
Unique sites:
1 Ni 0.000 0.000 0.000 (multiplicity 4)
2 As 0.250 0.250 0.250 (multiplicity 8)
3 Ir 0.000 0.000 0.500 (multiplicity 4)

Values from the calculation:
DOS at the Fermi energy = 0.949 states/eV per atom
energy of formation from the pure elements = 0.09 eV per atom
offset from the most stable computed form = 0.317 eV/atom
total moment = 0.000 μB per formula unit

=====

[2]
SrLa3Ir: relaxed, PBE-GGA.

Cell lengths 7.6227, 7.6227, 11.0456 Å; angles 90.00, 90.00, 120.00 degrees
Space group R3m (No. 160, hexagonal axes)
Unique sites:
1 Sr 0.0000 0.0000 0.0000 (multiplicity 3)
2 La 0.0078 0.5039 0.0742 (multiplicity 9)
3 Ir 0.0000 0.0000 0.2617 (multiplicity 3)

Values from the calculation:
DOS at the Fermi energy = 1.345 states/eV per atom
energy of formation from the pure elements = 0.00 eV per atom
offset from the most stable computed form = 0.324 eV/atom
total moment = 0.000 μB per formula unit

=====

[3]
PrNd7Er3: relaxed, PBE-GGA.

Cell lengths 7.2368, 7.2368, 8.6851 Å; angles 90.00, 90.00, 120.00 degrees
Space group P3m1 (No. 156)
Unique sites:
1 Pr 0.0000 0.0000 0.0000 (multiplicity 1)
2 Nd 0.0006 0.5003 0.0184 (multiplicity 3)
3 Nd 0.3330 0.1665 0.6656 (multiplicity 3)
4 Nd 0.3333 0.6667 0.6836 (multiplicity 1)
5 Er 0.1669 0.3337 0.3424 (multiplicity 3)

Values from the calculation:
DOS at the Fermi energy = 1.600 states/eV per atom
energy of formation from the pure elements = 0.19 eV per atom
offset from the most stable computed form = 0.057 eV/atom
total moment = 0.000 μB per formula unit